Density functional theory data (GGA+U) for a geometry-optimized VC2O6 structure.

abc: 7.1916 7.5271 9.4667
angles: 90.00 90.00 90.00
Atoms (fractional coordinates):
O: 0.0580 0.2852 0.7163
O: 0.2599 0.1816 0.5415
O: 0.9303 0.1730 0.2156
O: 0.5432 0.6678 0.5132
O: 0.2788 0.0599 0.8700
O: 0.4303 0.3270 0.7156
O: 0.5580 0.2148 0.2163
O: 0.7401 0.8184 0.0415
O: 0.7599 0.3184 0.0415
O: 0.5697 0.6730 0.2156
O: 0.0650 0.2863 0.0266
O: 0.4420 0.7852 0.7163
O: 0.7788 0.4401 0.3700
O: 0.4568 0.3322 0.0132
O: 0.0432 0.8322 0.0132
O: 0.9568 0.1678 0.5132
O: 0.7212 0.9401 0.3700
O: 0.5650 0.2137 0.5266
O: 0.9350 0.7137 0.5266
O: 0.2401 0.6816 0.5415
O: 0.2212 0.5599 0.8700
O: 0.9420 0.7148 0.2163
O: 0.0697 0.8270 0.7156
O: 0.4350 0.7863 0.0266
C: 0.4243 0.2449 0.5989
C: 0.4189 0.7163 0.5955
C: 0.5811 0.2837 0.0955
C: 0.0811 0.2163 0.5955
C: 0.5757 0.7551 0.0989
C: 0.9243 0.2551 0.0989
C: 0.0757 0.7449 0.5989
C: 0.9189 0.7837 0.0955
V: 0.2568 0.8376 0.8698
V: 0.7568 0.6624 0.3698
V: 0.7432 0.1624 0.3698
V: 0.2432 0.3376 0.8698

## Properties
Space-group type: Pna2_1 (33)
ρ: 2.216 g cm⁻³
V: 512.5 Å³ per cell
Crystal system: orthorhombic
Excess energy over the best structure of this formula in the dataset: 0.037 eV per atom